Y4Tm6Th: relaxed, PBE.

symmetry = P4/mnc, No. 128
E = -5.2936 eV/atom

a b c (Å): 8.6446 8.6446 9.3250
angles (deg): 90.00 90.00 90.00
Fractional coordinates of all 22 atoms:
Y  0.6493  0.8507  0.7500
Y  0.3507  0.1493  0.2500
Y  0.3507  0.1493  0.7500
Y  0.8507  0.3507  0.7500
Y  0.6493  0.8507  0.2500
Y  0.8507  0.3507  0.2500
Y  0.1493  0.6493  0.2500
Y  0.1493  0.6493  0.7500
Tm  0.0000  0.0000  0.1632
Tm  0.8448  0.6380  0.5000
Tm  0.5000  0.5000  0.3368
Tm  0.3448  0.8620  0.0000
Tm  0.1552  0.3620  0.5000
Tm  0.8620  0.6552  0.0000
Tm  0.0000  0.0000  0.8368
Tm  0.3620  0.8448  0.5000
Tm  0.6380  0.1552  0.5000
Tm  0.1380  0.3448  0.0000
Tm  0.5000  0.5000  0.6632
Tm  0.6552  0.1380  0.0000
Th  0.5000  0.5000  0.0000
Th  0.0000  0.0000  0.5000